[1]
Computed, not measured: a relaxed Ca2ZnSi4Pd3 crystal at the PBE level of DFT.

Results
**Electronic total energy**: -48.91 eV per cell
**Volume**: 177.7 Å³ per cell
**ΔE_f (raw)**: -0.64 eV/atom
**Calculated density**: 5.39 g/cm³

Cell: 4.151 4.151 10.315 Å, 90.00 90.00 90.00°
Positions (direct):
Ca  0.000  0.500  0.250
Ca  0.500  0.000  0.750
Zn  0.000  0.000  0.500
Si  0.000  0.000  0.000
Si  0.000  0.500  0.638
Si  0.500  0.000  0.362
Si  0.500  0.500  0.000
Pd  0.000  0.500  0.873
Pd  0.500  0.000  0.127
Pd  0.500  0.500  0.500

=====

[2]
Computed, not measured: a relaxed CaTlCdGe crystal at the PBE level of DFT.

Results
**Electronic total energy**: -42.36 eV per cell
**Volume**: 402.3 Å³ per cell
**Formation enthalpy at 0 K**: -0.172 eV per atom
**Calculated density**: 7.09 g/cm³

Cell: 7.382 7.382 7.382 Å, 90.00 90.00 90.00°
Positions (direct):
Ca  0.000  0.000  0.000
Ca  0.000  0.500  0.500
Ca  0.500  0.000  0.500
Ca  0.500  0.500  0.000
Tl  0.250  0.250  0.750
Tl  0.250  0.750  0.250
Tl  0.750  0.250  0.250
Tl  0.750  0.750  0.750
Cd  0.000  0.000  0.500
Cd  0.000  0.500  0.000
Cd  0.500  0.000  0.000
Cd  0.500  0.500  0.500
Ge  0.250  0.250  0.250
Ge  0.250  0.750  0.750
Ge  0.750  0.250  0.750
Ge  0.750  0.750  0.250

=====

[3]
Computed, not measured: a relaxed LiSnP2I crystal at the PBE level of DFT.

Results
**Electronic total energy**: -15.56 eV per cell
**Volume**: 239.2 Å³ per cell
**ΔE_f (raw)**: 0.55 eV/atom
**Calculated density**: 2.18 g/cm³

Cell: 4.905 4.905 9.942 Å, 90.00 90.00 90.00°
Positions (direct):
Li  0.000  0.000  0.000
Sn  0.000  0.000  0.500
P  0.000  0.500  0.500
P  0.500  0.000  0.500
I  0.500  0.500  0.000

=====

[4]
Computed, not measured: a relaxed Ho2Er2In7 crystal at the PBE level of DFT.

Results
**Electronic total energy**: -37.06 eV per cell
**Volume**: 338.5 Å³ per cell
**Formation enthalpy at 0 K**: 0.036 eV per atom
**Calculated density**: 7.20 g/cm³

Cell: 6.796 6.796 7.530 Å, 90.00 90.00 103.27°
Positions (direct):
Ho  0.199  0.801  0.000
Ho  0.801  0.199  0.000
Er  0.313  0.313  0.500
Er  0.687  0.687  0.500
In  0.000  0.000  0.299
In  0.000  0.000  0.701
In  0.000  0.500  0.297
In  0.000  0.500  0.703
In  0.500  0.000  0.297
In  0.500  0.000  0.703
In  0.500  0.500  0.000

=====

[5]
Computed, not measured: a relaxed Ti3CdN crystal at the PBE level of DFT.

Results
**Electronic total energy**: -73.43 eV per cell
**Volume**: 151.2 Å³ per cell
**ΔE_f (raw)**: -0.76 eV/atom
**Calculated density**: 5.93 g/cm³

Cell: 5.325 5.325 8.208 Å, 113.83 113.83 46.33°
Positions (direct):
Ti  0.114  0.114  0.177
Ti  0.136  0.136  0.689
Ti  0.357  0.357  0.058
Ti  0.643  0.643  0.942
Ti  0.864  0.864  0.311
Ti  0.886  0.886  0.823
Cd  0.380  0.380  0.565
Cd  0.620  0.620  0.435
N  0.119  0.119  0.928
N  0.881  0.881  0.072

=====

[6]
Computed, not measured: a relaxed Ac2LaZn3 crystal at the PBE level of DFT.

Results
**Electronic total energy**: -18.54 eV per cell
**Volume**: 172.8 Å³ per cell
**Formation enthalpy at 0 K**: -0.263 eV per atom
**Calculated density**: 7.58 g/cm³

Cell: 3.865 3.865 11.570 Å, 90.00 90.00 90.00°
Positions (direct):
Ac  0.000  0.000  0.172
Ac  0.000  0.000  0.828
La  0.000  0.000  0.500
Zn  0.500  0.500  0.000
Zn  0.500  0.500  0.347
Zn  0.500  0.500  0.653

=====

[7]
Computed, not measured: a relaxed TlZn3P crystal at the PBE level of DFT.

Results
**Electronic total energy**: -10.22 eV per cell
**Volume**: 111.3 Å³ per cell
**Polymorph energy (0 for the lowest one)**: 0 meV/atom
**Formation enthalpy at 0 K**: 0.276 eV per atom
**Calculated density**: 6.44 g/cm³

Cell: 4.810 4.810 4.810 Å, 90.00 90.00 90.00°
Positions (direct):
Tl  0.000  0.000  0.000
Zn  0.000  0.500  0.500
Zn  0.500  0.000  0.500
Zn  0.500  0.500  0.000
P  0.500  0.500  0.500

=====

[8]
Computed, not measured: a relaxed Ac2Cd2Cu15 crystal at the PBE level of DFT.

Results
**Electronic total energy**: -72.47 eV per cell
**Volume**: 302.1 Å³ per cell
**Formation enthalpy at 0 K**: -0.052 eV per atom
**Calculated density**: 8.97 g/cm³

Cell: 6.757 6.757 6.757 Å, 82.97 82.97 82.97°
Positions (direct):
Ac  0.147  0.147  0.147
Ac  0.853  0.853  0.853
Cd  0.396  0.396  0.396
Cd  0.604  0.604  0.604
Cu  0.000  0.500  0.500
Cu  0.156  0.156  0.655
Cu  0.156  0.655  0.156
Cu  0.205  0.500  0.795
Cu  0.205  0.795  0.500
Cu  0.345  0.844  0.844
Cu  0.500  0.000  0.500
Cu  0.500  0.205  0.795
Cu  0.500  0.500  0.000
Cu  0.500  0.795  0.205
Cu  0.655  0.156  0.156
Cu  0.795  0.205  0.500
Cu  0.795  0.500  0.205
Cu  0.844  0.345  0.844
Cu  0.844  0.844  0.345

=====

[9]
Computed, not measured: a relaxed PaHg2Bi2 crystal at the PBE level of DFT.

Results
**Electronic total energy**: -35.32 eV per cell
**Volume**: 307.9 Å³ per cell
**Formation enthalpy at 0 K**: 0.041 eV per atom
**Calculated density**: 11.33 g/cm³

Cell: 5.339 5.339 12.474 Å, 90.00 90.00 120.00°
Positions (direct):
Pa  0.000  0.000  0.250
Pa  0.000  0.000  0.750
Hg  0.333  0.667  0.113
Hg  0.333  0.667  0.387
Hg  0.667  0.333  0.613
Hg  0.667  0.333  0.887
Bi  0.000  0.000  0.000
Bi  0.000  0.000  0.500
Bi  0.333  0.667  0.750
Bi  0.667  0.333  0.250

=====

[10]
Computed, not measured: a relaxed AcH4F5 crystal at the PBE level of DFT.

Results
**Electronic total energy**: -49.34 eV per cell
**Volume**: 145.2 Å³ per cell
**Calculated density**: 3.73 g/cm³

Cell: 4.066 5.013 7.442 Å, 76.78 79.75 89.77°
Positions (direct):
Ac  0.000  0.000  0.000
H  0.535  0.650  0.807
H  0.553  0.798  0.753
H  0.900  0.414  0.290
H  0.994  0.196  0.549
F  0.101  0.053  0.638
F  0.439  0.871  0.187
F  0.544  0.232  0.863
F  0.839  0.387  0.433
F  0.968  0.455  0.104

=====

[11]
Computed, not measured: a relaxed Al3Cr crystal at the PBE level of DFT.

Results
**Electronic total energy**: -42.40 eV per cell
**Volume**: 114.6 Å³ per cell
**Formation enthalpy at 0 K**: -0.088 eV per atom
**Calculated density**: 3.85 g/cm³

Cell: 4.526 5.242 4.830 Å, 90.00 90.00 90.00°
Positions (direct):
Al  0.250  0.002  0.155
Al  0.250  0.498  0.155
Al  0.250  0.750  0.642
Al  0.750  0.250  0.358
Al  0.750  0.502  0.845
Al  0.750  0.998  0.845
Cr  0.250  0.250  0.648
Cr  0.750  0.750  0.352

=====

[12]
Computed, not measured: a relaxed CaAlHg crystal at the PBE level of DFT.

Results
**Electronic total energy**: -7.20 eV per cell
**Volume**: 72.0 Å³ per cell
**Polymorph energy (0 for the lowest one)**: 34 meV/atom
**Formation enthalpy at 0 K**: -0.383 eV per atom
**Calculated density**: 6.17 g/cm³

Cell: 4.723 4.723 3.726 Å, 90.00 90.00 120.00°
Positions (direct):
Ca  0.000  0.000  0.000
Al  0.333  0.667  0.500
Hg  0.667  0.333  0.500

=====

[13]
Computed, not measured: a relaxed Pr2Dy3Tm7 crystal at the PBE level of DFT.

Results
**Electronic total energy**: -53.27 eV per cell
**Volume**: 381.5 Å³ per cell
**Polymorph energy (0 for the lowest one)**: 28 meV/atom
**Formation enthalpy at 0 K**: 0.117 eV per atom
**Calculated density**: 8.50 g/cm³

Cell: 19.015 19.015 3.599 Å, 90.00 90.00 162.96°
Positions (direct):
Pr  0.147  0.853  0.000
Pr  0.853  0.147  0.000
Dy  0.313  0.687  0.500
Dy  0.500  0.500  0.500
Dy  0.687  0.313  0.500
Tm  0.000  0.000  0.000
Tm  0.070  0.930  0.500
Tm  0.230  0.770  0.000
Tm  0.412  0.588  0.000
Tm  0.588  0.412  0.000
Tm  0.770  0.230  0.000
Tm  0.930  0.070  0.500

=====

[14]
Computed, not measured: a relaxed LiEuAgHg crystal at the PBE level of DFT.

Results
**Electronic total energy**: -65.99 eV per cell
**Volume**: 391.5 Å³ per cell
**Formation enthalpy at 0 K**: -0.289 eV per atom
**Calculated density**: 7.93 g/cm³

Cell: 7.316 7.316 7.316 Å, 90.00 90.00 90.00°
Positions (direct):
Li  0.000  0.000  0.000
Li  0.000  0.500  0.500
Li  0.500  0.000  0.500
Li  0.500  0.500  0.000
Eu  0.000  0.000  0.500
Eu  0.000  0.500  0.000
Eu  0.500  0.000  0.000
Eu  0.500  0.500  0.500
Ag  0.250  0.250  0.750
Ag  0.250  0.750  0.250
Ag  0.750  0.250  0.250
Ag  0.750  0.750  0.750
Hg  0.250  0.250  0.250
Hg  0.250  0.750  0.750
Hg  0.750  0.250  0.750
Hg  0.750  0.750  0.250

=====

[15]
Computed, not measured: a relaxed RbMn2SnI8 crystal at the PBE level of DFT.

Results
**Electronic total energy**: -42.15 eV per cell
**Volume**: 536.9 Å³ per cell
**ΔE_f (raw)**: -0.54 eV/atom
**Calculated density**: 4.11 g/cm³

Cell: 12.043 12.043 12.043 Å, 35.90 35.90 35.90°
Positions (direct):
Rb  0.000  0.000  0.000
Mn  0.251  0.251  0.251
Mn  0.749  0.749  0.749
Sn  0.500  0.500  0.500
I  0.115  0.427  0.773
I  0.227  0.573  0.885
I  0.328  0.328  0.328
I  0.427  0.773  0.115
I  0.573  0.885  0.227
I  0.672  0.672  0.672
I  0.773  0.115  0.427
I  0.885  0.227  0.573

=====

[16]
Computed, not measured: a relaxed NaPH4 crystal at the PBE level of DFT.

Results
**Electronic total energy**: -39.00 eV per cell
**Volume**: 150.9 Å³ per cell
**Polymorph energy (0 for the lowest one)**: 144 meV/atom
**Calculated density**: 1.28 g/cm³

Cell: 4.310 4.310 8.125 Å, 90.00 90.00 90.00°
Positions (direct):
Na  0.000  0.000  0.000
Na  0.500  0.500  0.500
P  0.000  0.500  0.250
P  0.500  0.000  0.750
H  0.155  0.804  0.257
H  0.196  0.155  0.743
H  0.304  0.345  0.243
H  0.345  0.696  0.757
H  0.655  0.304  0.757
H  0.696  0.655  0.243
H  0.804  0.845  0.743
H  0.845  0.196  0.257

=====

[17]
Computed, not measured: a relaxed Ac4ZnPt2 crystal at the PBE level of DFT.

Results
**Electronic total energy**: -139.47 eV per cell
**Volume**: 938.0 Å³ per cell
**Formation enthalpy at 0 K**: -0.726 eV per atom
**Calculated density**: 9.66 g/cm³

Cell: 12.981 4.431 16.307 Å, 90.00 90.00 90.00°
Positions (direct):
Ac  0.007  0.250  0.209
Ac  0.056  0.250  0.588
Ac  0.153  0.750  0.012
Ac  0.233  0.750  0.315
Ac  0.267  0.250  0.815
Ac  0.347  0.250  0.512
Ac  0.444  0.750  0.088
Ac  0.493  0.750  0.709
Ac  0.507  0.250  0.291
Ac  0.556  0.250  0.912
Ac  0.653  0.750  0.488
Ac  0.733  0.750  0.185
Ac  0.767  0.250  0.685
Ac  0.847  0.250  0.988
Ac  0.944  0.750  0.412
Ac  0.993  0.750  0.791
Zn  0.235  0.750  0.659
Zn  0.265  0.250  0.159
Zn  0.735  0.750  0.841
Zn  0.765  0.250  0.341
Pt  0.064  0.250  0.904
Pt  0.109  0.250  0.403
Pt  0.391  0.750  0.903
Pt  0.436  0.750  0.404
Pt  0.564  0.250  0.596
Pt  0.609  0.250  0.097
Pt  0.891  0.750  0.597
Pt  0.936  0.750  0.096

=====

[18]
Computed, not measured: a relaxed Ba2Cu2Se2S crystal at the PBE level of DFT.

Results
**Electronic total energy**: -62.84 eV per cell
**Volume**: 350.8 Å³ per cell
**ΔE_f (raw)**: -1.18 eV/atom
**Calculated density**: 5.60 g/cm³

Cell: 12.390 4.215 7.859 Å, 90.00 121.27 90.00°
Positions (direct):
Ba  0.053  0.000  0.309
Ba  0.447  0.500  0.691
Ba  0.553  0.500  0.309
Ba  0.947  0.000  0.691
Cu  0.212  0.500  0.074
Cu  0.288  0.000  0.926
Cu  0.712  0.000  0.074
Cu  0.788  0.500  0.926
Se  0.183  0.500  0.722
Se  0.317  0.000  0.278
Se  0.683  0.000  0.722
Se  0.817  0.500  0.278
S  0.000  0.500  0.000
S  0.500  0.000  0.000

=====

[19]
Computed, not measured: a relaxed Tb3Al7Ga2 crystal at the PBE level of DFT.

Results
**Electronic total energy**: -51.27 eV per cell
**Volume**: 241.2 Å³ per cell
**Polymorph energy (0 for the lowest one)**: 0 meV/atom
**Formation enthalpy at 0 K**: -0.427 eV per atom
**Calculated density**: 5.54 g/cm³

Cell: 13.953 13.953 4.103 Å, 90.00 90.00 162.43°
Positions (direct):
Tb  0.000  0.000  0.000
Tb  0.177  0.823  0.000
Tb  0.823  0.177  0.000
Al  0.082  0.918  0.500
Al  0.272  0.728  0.500
Al  0.420  0.580  0.000
Al  0.500  0.500  0.500
Al  0.580  0.420  0.000
Al  0.728  0.272  0.500
Al  0.918  0.082  0.500
Ga  0.360  0.640  0.500
Ga  0.640  0.360  0.500

=====

[20]
Computed, not measured: a relaxed TeSe2Cl crystal at the PBE level of DFT.

Results
**Electronic total energy**: -44.33 eV per cell
**Volume**: 457.0 Å³ per cell
**Polymorph energy (0 for the lowest one)**: 361 meV/atom
**ΔE_f (raw)**: 0.22 eV/atom
**Calculated density**: 4.67 g/cm³

Cell: 7.576 7.576 7.963 Å, 90.00 90.00 90.00°
Positions (direct):
Te  0.000  0.000  0.000
Te  0.000  0.500  0.250
Te  0.500  0.000  0.750
Te  0.500  0.500  0.500
Se  0.223  0.250  0.125
Se  0.250  0.723  0.375
Se  0.250  0.777  0.875
Se  0.277  0.250  0.625
Se  0.723  0.750  0.625
Se  0.750  0.223  0.875
Se  0.750  0.277  0.375
Se  0.777  0.750  0.125
Cl  0.000  0.000  0.500
Cl  0.000  0.500  0.750
Cl  0.500  0.000  0.250
Cl  0.500  0.500  0.000